A relaxed TbTl3 crystal, computed with PBE.

a b c (Å): 3.531 3.583 9.848
angles (deg): 90.00 90.00 90.00
Positions (direct):
1 Tb 0.000 0.000 0.000
2 Tl 0.000 0.500 0.276
3 Tl 0.500 0.000 0.514
4 Tl 0.500 0.500 0.792

Computed properties:
- energy of formation from the pure elements (meV/atom) = 22
- M_tot (Bohr magnetons per cell) = 0.000